(1)
Below is crystalline RbNa2AgBi at its relaxed geometry, with properties calculated at the PBE level.

formation energy: -78 meV/atom
SG: P4/mmm, No. 123
energy above the lowest structure with this stoichiometry: 1.1 kJ per mole of atoms

Cell and atoms, written as POSCAR:
```
RbNa2AgBi
1.0
6.085 0.000 0.000
0.000 6.085 0.000
0.000 0.000 5.718
Na Rb Bi Ag
2 1 1 1
direct
0.000 0.500 0.000
0.500 0.000 0.000
0.500 0.500 0.500
0.000 0.000 0.000
0.000 0.000 0.500
```

(2)
Below is crystalline PmTe4Au2 at its relaxed geometry, with properties calculated at the PBE level.

SG: Cmcm, No. 63

Cell and atoms, written as POSCAR:
```
PmTe4Au2
1.0
-1.826 2.733 2.800
-5.460 -4.195 -2.795
1.771 -8.804 9.752
Pm Te Au
2 8 4
direct
0.612 0.223 0.750
0.388 0.777 0.250
0.781 0.562 0.115
0.781 0.562 0.385
0.219 0.438 0.885
0.219 0.438 0.615
0.952 0.904 0.750
0.048 0.096 0.250
0.500 0.000 0.000
0.500 0.000 0.500
0.132 0.263 0.433
0.868 0.737 0.933
0.132 0.263 0.067
0.868 0.737 0.567
```

(3)
Below is crystalline LuHfTi2 at its relaxed geometry, with properties calculated at the PBE level.

formation energy: 142 meV/atom
SG: P4/mmm, No. 123
energy above the lowest structure with this stoichiometry: 0.0 kJ per mole of atoms

Cell and atoms, written as POSCAR:
```
LuHfTi2
1.0
3.576 0.000 0.000
0.000 3.576 0.000
0.000 0.000 6.672
Lu Hf Ti
1 1 2
direct
0.500 0.500 0.500
0.500 0.500 0.000
0.000 0.000 0.793
0.000 0.000 0.207
```

Number 1: final energy -10.7 eV per cell. Number 2: final energy -54.3 eV per cell. Number 3: final energy -29.7 eV per cell.